1.
YCdIr2: relaxed, PBEsol.

## Properties
Its symmetry is No. 123. The total magnetization is 0.000 μB/f.u. For the calculated formation energy, the calculation gives -0.9 eV per formula unit. The mass density is 13.704 g/cm3.

Lattice parameters (Å, degrees): 3.344 3.344 6.346 90.00 90.00 90.00
Positions (direct):
Cd1 0.500 0.500 0.500
Ir1 0.000 0.000 0.736
Ir2 0.000 0.000 0.264
Y1 0.500 0.500 0.000

2.
MnReW: relaxed, PBEsol.

## Properties
Its symmetry is No. 107. The total magnetization is 1.947 μB/f.u. For the calculated formation energy, the calculation gives 0.5 eV per formula unit. As for the excess energy over the best structure of this formula in the dataset: 0.0361 eV per atom. The mass density is 16.856 g/cm3.

Lattice parameters (Å, degrees): 3.071 3.071 4.942 108.10 108.10 90.00
Last column: magnetic moment on the atom in μB.
Positions (direct):
Mn1 0.999 0.999 0.998  1.98
Re1 0.665 0.665 0.329  0.05
W1 0.336 0.336 0.673  -0.10

3.
CaMg3Mn: relaxed, PBEsol.

## Properties
Its symmetry is No. 221. The total magnetization is 2.748 μB/f.u. For the calculated formation energy, the calculation gives 2.1 eV per formula unit. The mass density is 2.168 g/cm3.

Lattice parameters (Å, degrees): 5.048 5.048 5.048 90.00 90.00 90.00
Last column: magnetic moment on the atom in μB.
Positions (direct):
Ca1 0.500 0.500 0.500  -0.07
Mn1 0.000 0.000 0.000  3.09
Mg1 0.000 0.500 0.000  -0.01
Mg2 0.000 0.000 0.500  -0.01
Mg3 0.500 0.000 0.000  -0.01

4.
AlCu2W: relaxed, PBEsol.

## Properties
Its symmetry is No. 12. The total magnetization is 0.000 μB/f.u. For the calculated formation energy, the calculation gives 0.6 eV per formula unit. The mass density is 10.452 g/cm3.

Lattice parameters (Å, degrees): 2.582 4.904 5.012 116.76 100.57 98.73
Positions (direct):
Al1 0.000 0.500 0.000
Cu1 0.000 0.000 0.500
Cu2 0.500 0.500 0.500
W1 0.500 0.000 0.000